# 1
{"formula": "TaGaO3", "functional": "GGA-PBE", "state": "optimized geometry", "cell": [[3.7566, 0.0000, 0.0000], [0.0000, 3.7566, 0.0000], [0.0000, 0.0000, 3.7566]], "species": ["O", "O", "O", "Ga", "Ta"], "fractional_positions": [[0.0000, 0.5000, 0.0000], [0.0000, 0.0000, 0.5000], [0.5000, 0.0000, 0.0000], [0.0000, 0.0000, 0.0000], [0.5000, 0.5000, 0.5000]], "dft_energy_ev_per_atom": -6.8018, "n_ef_per_ev_cell": 3.6, "m_tot_mub_per_fu": 1.939, "raw_formation_energy_ev_per_atom": -0.851}



# 2
{"formula": "Tm3ZrTe6", "functional": "GGA-PBE", "state": "optimized geometry", "cell": [[-8.2956, 0.4920, 2.9800], [2.9903, -0.2057, 8.3039], [0.5433, 8.8115, 0.0031]], "species": ["Tm", "Tm", "Tm", "Tm", "Tm", "Tm", "Zr", "Zr", "Te", "Te", "Te", "Te", "Te", "Te", "Te", "Te", "Te", "Te", "Te", "Te"], "fractional_positions": [[0.4214, 0.9154, 0.7604], [0.9154, 0.7604, 0.4214], [0.2396, 0.5786, 0.0846], [0.7604, 0.4214, 0.9154], [0.0846, 0.2396, 0.5786], [0.5786, 0.0846, 0.2396], [0.0000, 0.0000, 0.0000], [0.5000, 0.5000, 0.5000], [0.3109, 0.9180, 0.0950], [0.0820, 0.9050, 0.6891], [0.5835, 0.8165, 0.4582], [0.9050, 0.6891, 0.0820], [0.4582, 0.5835, 0.8165], [0.1835, 0.5418, 0.4165], [0.8165, 0.4582, 0.5835], [0.5418, 0.4165, 0.1835], [0.0950, 0.3109, 0.9180], [0.4165, 0.1835, 0.5418], [0.9180, 0.0950, 0.3109], [0.6891, 0.0820, 0.9050]], "dft_energy_ev_per_atom": -5.1905, "n_ef_per_ev_cell": 9.7, "m_tot_mub_per_fu": 1.049, "raw_formation_energy_ev_per_atom": -1.109}



# 3
{"formula": "Cs2AgAsPt", "functional": "GGA-PBE", "state": "optimized geometry", "cell": [[-1.2957, -4.0582, 5.5806], [-2.5756, -4.9833, -4.2219], [4.1832, -1.8470, -0.3719]], "species": ["Cs", "Cs", "As", "Ag", "Pt"], "fractional_positions": [[0.0000, 0.5000, 0.0000], [0.5000, 0.0000, 0.0000], [0.0000, 0.0000, 0.5000], [0.5000, 0.5000, 0.5000], [0.0000, 0.0000, 0.0000]], "dft_energy_ev_per_atom": -3.1551, "n_ef_per_ev_cell": 3.4, "m_tot_mub_per_fu": 0.000}



# 4
{"formula": "LiPm2Br6", "functional": "GGA-PBE", "state": "optimized geometry", "cell": [[0.5609, -0.5570, -3.8606], [3.9687, -7.7255, 1.6911], [-9.4810, -1.7450, 0.8856]], "species": ["Li", "Pm", "Pm", "Br", "Br", "Br", "Br", "Br", "Br"], "fractional_positions": [[0.5000, 0.0000, 0.0000], [0.8402, 0.6850, 0.6805], [0.1598, 0.3150, 0.3195], [0.3374, 0.9251, 0.6748], [0.0061, 0.2203, 0.0123], [0.6747, 0.5770, 0.3494], [0.9939, 0.7797, 0.9877], [0.6626, 0.0749, 0.3252], [0.3253, 0.4230, 0.6506]], "dft_energy_ev_per_atom": -4.0779, "n_ef_per_ev_cell": 2.5, "de_polymorph_ev_per_fu": 0.000, "m_tot_mub_per_fu": 0.000, "raw_formation_energy_ev_per_atom": -1.694}



# 5
{"formula": "PuMgGe2O8", "functional": "GGA-PBE", "state": "optimized geometry", "cell": [[5.7801, 0.1853, 0.0000], [-2.3975, 5.2626, 0.0000], [-1.6913, -2.7240, 4.8128]], "species": ["Pu", "Mg", "Ge", "Ge", "O", "O", "O", "O", "O", "O", "O", "O"], "fractional_positions": [[0.2500, 0.7500, 0.5000], [0.0000, 0.0000, 0.0000], [0.7500, 0.2500, 0.5000], [0.5000, 0.5000, 0.0000], [0.3694, 0.0593, 0.3101], [0.3169, 0.5094, 0.1925], [0.3169, 0.1244, 0.8075], [0.7493, 0.0593, 0.6899], [0.8756, 0.6831, 0.1925], [0.9407, 0.2507, 0.3101], [0.9407, 0.6306, 0.6899], [0.4906, 0.6831, 0.8075]], "dft_energy_ev_per_atom": -7.3187, "n_ef_per_ev_cell": 5.8, "m_tot_mub_per_fu": 2.000, "raw_formation_energy_ev_per_atom": -1.916}



# 6
{"formula": "SrIn2C2", "functional": "GGA-PBE", "state": "optimized geometry", "cell": [[4.0112, 0.0000, 0.0000], [0.0000, 4.0112, 0.0000], [2.0056, 2.0056, 6.0998]], "species": ["Sr", "C", "C", "In", "In"], "fractional_positions": [[0.0000, 0.0000, 0.0000], [0.3605, 0.3605, 0.2790], [0.6395, 0.6395, 0.7210], [0.7500, 0.2500, 0.5000], [0.2500, 0.7500, 0.5000]], "dft_energy_ev_per_atom": -4.1159, "n_ef_per_ev_cell": 0.2, "de_polymorph_ev_per_fu": 0.000, "m_tot_mub_per_fu": 0.000}



Please write out number 1 again, unchanged.
{"formula": "TaGaO3", "functional": "GGA-PBE", "state": "optimized geometry", "cell": [[3.7566, 0.0000, 0.0000], [0.0000, 3.7566, 0.0000], [0.0000, 0.0000, 3.7566]], "species": ["O", "O", "O", "Ga", "Ta"], "fractional_positions": [[0.0000, 0.5000, 0.0000], [0.0000, 0.0000, 0.5000], [0.5000, 0.0000, 0.0000], [0.0000, 0.0000, 0.0000], [0.5000, 0.5000, 0.5000]], "dft_energy_ev_per_atom": -6.8018, "n_ef_per_ev_cell": 3.6, "m_tot_mub_per_fu": 1.939, "raw_formation_energy_ev_per_atom": -0.851}



What did the fifth record say?
{"formula": "PuMgGe2O8", "functional": "GGA-PBE", "state": "optimized geometry", "cell": [[5.7801, 0.1853, 0.0000], [-2.3975, 5.2626, 0.0000], [-1.6913, -2.7240, 4.8128]], "species": ["Pu", "Mg", "Ge", "Ge", "O", "O", "O", "O", "O", "O", "O", "O"], "fractional_positions": [[0.2500, 0.7500, 0.5000], [0.0000, 0.0000, 0.0000], [0.7500, 0.2500, 0.5000], [0.5000, 0.5000, 0.0000], [0.3694, 0.0593, 0.3101], [0.3169, 0.5094, 0.1925], [0.3169, 0.1244, 0.8075], [0.7493, 0.0593, 0.6899], [0.8756, 0.6831, 0.1925], [0.9407, 0.2507, 0.3101], [0.9407, 0.6306, 0.6899], [0.4906, 0.6831, 0.8075]], "dft_energy_ev_per_atom": -7.3187, "n_ef_per_ev_cell": 5.8, "m_tot_mub_per_fu": 2.000, "raw_formation_energy_ev_per_atom": -1.916}